Record 1
Here is ZnCdBr2Cl after structural relaxation from Alexandria. Energies are from PBE-GGA.

abc: 4.0187 4.1467 10.0339
angles: 101.62 100.71 90.01
With the nearest neighbours (Å) after each atom.
Fractional coordinates of all 5 atoms:
1 Zn 0.0000 0.0000 0.0000  2 Cl 2.36, 2 Br 2.49
2 Cd 0.7276 0.2606 0.4888  4 Br 2.89
3 Br 0.2271 0.7600 0.4876  4 Cd 2.89
4 Br 0.9347 0.4307 0.8573  2 Zn 2.49
5 Cl 0.5599 0.0634 0.1289  2 Zn 2.36

Results
Distance to the lowest polymorph of the same formula   0.011 eV per atom

=====

Record 2
Here is Cd2CoBr2 after structural relaxation from Alexandria. Energies are from PBE-GGA.

abc: 6.8967 6.8967 6.8967
angles: 138.63 138.63 59.94
With the nearest neighbours (Å) after each atom.
Fractional coordinates of all 5 atoms:
1 Cd 0.1127 0.1127 0.0000  1 Cd 2.69, 4 Br 2.94
2 Cd 0.8873 0.8873 0.0000  1 Cd 2.69, 4 Br 2.94
3 Co 0.5000 0.5000 0.0000  8 Cd 3.70, 8 Br 3.85
4 Br 0.2500 0.7500 0.5000  4 Cd 2.94
5 Br 0.7500 0.2500 0.5000  4 Cd 2.94

=====

Record 3
Here is CdCo3Br after structural relaxation from Alexandria. Energies are from PBE-GGA.

abc: 4.3475 4.3475 4.3475
angles: 90.00 90.00 90.00
With the nearest neighbours (Å) after each atom.
Fractional coordinates of all 5 atoms:
1 Cd 0.0000 0.0000 0.0000  12 Co 3.07
2 Co 0.0000 0.5000 0.5000  2 Br 2.17
3 Co 0.5000 0.0000 0.5000  2 Br 2.17
4 Co 0.5000 0.5000 0.0000  2 Br 2.17
5 Br 0.5000 0.5000 0.5000  6 Co 2.17

Results
Distance to the lowest polymorph of the same formula   0.000 eV per atom

=====

Record 4
Here is CdCo3Br after structural relaxation from Alexandria. Energies are from PBE-GGA.

abc: 4.8562 4.8562 4.8562
angles: 90.00 90.00 90.00
With the nearest neighbours (Å) after each atom.
Fractional coordinates of all 5 atoms:
1 Cd 0.0000 0.0000 0.0000  6 Co 2.43
2 Co 0.0000 0.0000 0.5000  2 Cd 2.43
3 Co 0.0000 0.5000 0.0000  2 Cd 2.43
4 Co 0.5000 0.0000 0.0000  2 Cd 2.43
5 Br 0.5000 0.5000 0.5000  12 Co 3.43

Results
Distance to the lowest polymorph of the same formula   0.615 eV per atom

=====

no.,DOS(E_F) (states/eV per cell),formation energy (no corrections) (eV/atom)
1,1.647,-0.687
2,6.521,0.438
3,6.525,0.979
4,14.014,1.595